Nd4Dy4Ho | PBE | relaxed

Results
The value obtained for the density of states at the Fermi level is 13.16 states/eV/f.u. The energy above the lowest structure with this stoichiometry is 0 meV/atom. Its total moment is 0.00 μB per formula unit. The value obtained for the calculated volume is 297.0 Å³/f.u. Its space group is I4/mmm, No. 139. For the calculated formation energy, the calculation gives 17 meV per atom.

a b c (Å): 8.058 8.058 8.058
angles (deg): 95.70 95.70 143.27
Positions (direct):
Nd1 0.167 0.167 0.333
Nd2 0.167 0.833 0.000
Nd3 0.833 0.167 0.000
Nd4 0.833 0.833 0.667
Dy1 0.165 0.500 0.665
Dy2 0.500 0.165 0.665
Dy3 0.500 0.835 0.335
Dy4 0.835 0.500 0.335
Ho1 0.500 0.500 0.000

NdDy5Ho | PBE | relaxed

Results
The value obtained for the density of states at the Fermi level is 8.01 states/eV/f.u. The energy above the lowest structure with this stoichiometry is 0 meV/atom. Its total moment is 0.00 μB per formula unit. The value obtained for the calculated volume is 226.2 Å³/f.u. Its space group is C2/c, No. 15. For the calculated formation energy, the calculation gives 192 meV per atom.

a b c (Å): 6.758 6.758 12.217
angles (deg): 107.71 107.71 59.96
Positions (direct):
Nd1 0.030 0.970 0.750
Nd2 0.970 0.030 0.250
Dy1 0.149 0.413 0.754
Dy2 0.189 0.653 0.500
Dy3 0.347 0.811 0.000
Dy4 0.409 0.591 0.250
Dy5 0.413 0.149 0.254
Dy6 0.587 0.851 0.746
Dy7 0.591 0.409 0.750
Dy8 0.653 0.189 0.000
Dy9 0.811 0.347 0.500
Dy10 0.851 0.587 0.246
Ho1 0.000 0.500 0.000
Ho2 0.500 0.000 0.500

Nd5DyHo6 | PBE | relaxed

Results
The value obtained for the density of states at the Fermi level is 13.79 states/eV/f.u. The energy above the lowest structure with this stoichiometry is 0 meV/atom. Its total moment is 0.00 μB per formula unit. The value obtained for the calculated volume is 391.2 Å³/f.u. Its space group is C2/m, No. 12. For the calculated formation energy, the calculation gives 14 meV per atom.

a b c (Å): 6.230 6.230 11.817
angles (deg): 95.02 95.02 119.98
Positions (direct):
Nd1 0.000 0.000 0.000
Nd2 0.167 0.833 0.500
Nd3 0.333 0.667 0.000
Nd4 0.667 0.333 0.000
Nd5 0.833 0.167 0.500
Dy1 0.500 0.500 0.500
Ho1 0.084 0.417 0.251
Ho2 0.250 0.250 0.749
Ho3 0.417 0.084 0.251
Ho4 0.583 0.916 0.749
Ho5 0.750 0.750 0.251
Ho6 0.916 0.583 0.749